Entry 1:
PmNd2SmHo2: relaxed, GGA-PBE.

Output
As for the density of states at the Fermi level: 20.4 states/eV/cell. The value obtained for the uncorrected energy is -0.32589 Ry per atom. The value obtained for the volume is 411.89 Å³/cell. Its total moment is 0.00 μB/cell. The calculation puts the energy of formation from the pure elements at 1.557 eV per formula unit. As for the space group: Pnnm (58).

Unit cell a=6.6079 b=18.2340 c=3.4185 alpha=90.00 beta=90.00 gamma=90.00
Fractional coordinates of all 12 atoms:
1 Pm 0.0000 0.0000 0.0000
2 Pm 0.5000 0.5000 0.5000
3 Nd 0.2211 0.1879 0.0000
4 Nd 0.2789 0.6879 0.5000
5 Nd 0.7211 0.3121 0.5000
6 Nd 0.7789 0.8121 0.0000
7 Sm 0.0000 0.5000 0.0000
8 Sm 0.5000 0.0000 0.5000
9 Ho 0.2196 0.3536 0.5000
10 Ho 0.2804 0.8536 0.0000
11 Ho 0.7196 0.1464 0.0000
12 Ho 0.7804 0.6464 0.5000

Entry 2:
Pm3Nd2Sm6Ho: relaxed, GGA-PBE.

Output
As for the density of states at the Fermi level: 17.0 states/eV/cell. The value obtained for the uncorrected energy is -0.34618 Ry per atom. The value obtained for the volume is 407.44 Å³/cell. Its total moment is 0.00 μB/cell. The calculation puts the energy of formation from the pure elements at 0.160 eV per formula unit. As for the space group: C2/m (12).

Unit cell a=6.2937 b=6.2937 c=12.0596 alpha=95.00 beta=95.00 gamma=119.98
Fractional coordinates of all 12 atoms:
1 Pm 0.0000 0.0000 0.0000
2 Pm 0.3335 0.6665 0.0000
3 Pm 0.6665 0.3335 0.0000
4 Nd 0.1666 0.8334 0.5000
5 Nd 0.8334 0.1666 0.5000
6 Sm 0.0847 0.4170 0.2505
7 Sm 0.2508 0.2508 0.7498
8 Sm 0.4170 0.0847 0.2505
9 Sm 0.5830 0.9153 0.7495
10 Sm 0.7492 0.7492 0.2502
11 Sm 0.9153 0.5830 0.7495
12 Ho 0.5000 0.5000 0.5000

Entry 3:
Pm6NdSmHo2: relaxed, GGA-PBE.

Output
As for the density of states at the Fermi level: 29.5 states/eV/cell. The value obtained for the uncorrected energy is -0.33798 Ry per atom. The value obtained for the volume is 681.91 Å³/cell. Its total moment is 0.00 μB/cell. The calculation puts the energy of formation from the pure elements at 1.162 eV per formula unit. As for the space group: C2/c (15).

Unit cell a=8.9261 b=8.9261 c=9.7231 alpha=93.96 beta=93.96 gamma=117.37
Fractional coordinates of all 20 atoms:
1 Pm 0.0166 0.5652 0.1828
2 Pm 0.1125 0.7568 0.5557
3 Pm 0.2432 0.8875 0.9443
4 Pm 0.2947 0.5114 0.3803
5 Pm 0.4348 0.9834 0.3172
6 Pm 0.4886 0.7053 0.1197
7 Pm 0.5114 0.2947 0.8803
8 Pm 0.5652 0.0166 0.6828
9 Pm 0.7053 0.4886 0.6197
10 Pm 0.7568 0.1125 0.0557
11 Pm 0.8875 0.2432 0.4443
12 Pm 0.9834 0.4348 0.8172
13 Nd 0.4072 0.5928 0.7500
14 Nd 0.5928 0.4072 0.2500
15 Sm 0.0293 0.9707 0.2500
16 Sm 0.9707 0.0293 0.7500
17 Ho 0.1975 0.2951 0.0468
18 Ho 0.2951 0.1975 0.5468
19 Ho 0.7049 0.8025 0.4532
20 Ho 0.8025 0.7049 0.9532